Here is Sm3ReO8 after structural relaxation from the Alexandria database. Energies are from PBE.

Output
Formation energy without anion corrections, eV per atom: -2.81

Structure (CIF):
```
data_Sm3ReO8
_chemical_formula_sum 'Sm12 Re4 O32'
_symmetry_space_group_name_H-M 'P 1 21/c 1'
_symmetry_Int_Tables_number 14
_symmetry_space_group_name_Hall '-P 2ybc'
_cell_length_a 7.416
_cell_length_b 6.149
_cell_length_c 14.837
_cell_angle_alpha 90.00
_cell_angle_beta 111.02
_cell_angle_gamma 90.00
loop_
_atom_site_label
_atom_site_fract_x
_atom_site_fract_y
_atom_site_fract_z
_atom_site_occupancy
Sm1 0.095 0.238 0.201 1
Sm2 0.161 0.200 0.446 1
Sm3 0.395 0.688 0.333 1
Re1 0.321 0.746 0.091 1
O1 0.090 0.698 0.982 1
O2 0.147 0.031 0.841 1
O3 0.170 0.649 0.169 1
O4 0.185 0.531 0.827 1
O5 0.251 0.043 0.097 1
O6 0.379 0.050 0.589 1
O7 0.470 0.205 0.789 1
O8 0.474 0.697 0.521 1
```